# 1
Compound: Pm2GeN
Source: Alexandria via LeMat-Bulk
Functional: PBE
Structure: relaxed

It has space group P4/mmm (No. 123), with a = 3.1776 Å, b = 3.1776 Å, c = 7.5392 Å, α = 90.00°, β = 90.00° and γ = 90.00°. The asymmetric unit holds Pm at (0.0000, 0.0000, 0.1973), Ge at (0.5000, 0.5000, 0.5000) and N at (0.5000, 0.5000, 0.0000).

The raw formation energy comes out at -2.4 eV/f.u. As for the total moment: 0.0 Bohr magnetons per cell. The energy above the most stable polymorph in this dataset comes out at 142 meV/atom.

# 2
Compound: Li4B2O5
Source: Alexandria via LeMat-Bulk
Functional: PBE
Structure: relaxed

It has space group Cm (No. 8), with a = 9.4658 Å, b = 5.0496 Å, c = 5.2360 Å, α = 90.00°, β = 103.04° and γ = 90.00°. The asymmetric unit holds Li at (0.0000, 0.0000, 0.0000), Li at (0.0154, 0.5000, 0.7770), Li at (0.2523, 0.0000, 0.8269), Li at (0.2829, 0.0000, 0.3346), B at (0.2248, 0.5000, 0.0972), B at (0.3681, 0.5000, 0.5318), O at (0.1600, 0.2615, 0.0315), O at (0.3658, 0.2605, 0.6487) and O at (0.3718, 0.5000, 0.2548).

The raw formation energy comes out at -24.1 eV/f.u. As for the total moment: 0.0 Bohr magnetons per cell. The energy above the most stable polymorph in this dataset comes out at 77 meV/atom.

# 3
Compound: ScTa2Au
Source: Alexandria via LeMat-Bulk
Functional: PBE
Structure: relaxed

It has space group I4/mmm (No. 139), with a = 4.0181 Å, b = 4.0181 Å, c = 9.2395 Å, α = 90.00°, β = 90.00° and γ = 90.00°. The asymmetric unit holds Sc at (0.0000, 0.0000, 0.0000), Ta at (0.0000, 0.5000, 0.2500) and Au at (0.0000, 0.0000, 0.5000).

As for the total moment: 0.0 Bohr magnetons per cell. The energy relative to the elements is -9.0 kJ/mol of atoms. The energy above the most stable polymorph in this dataset comes out at 31 meV/atom.

# 4
Compound: Rb2SeO3
Source: Alexandria via LeMat-Bulk
Functional: PBE
Structure: relaxed

It has space group Fmmm (No. 69), with a = 7.8660 Å, b = 12.8312 Å, c = 13.6411 Å, α = 90.00°, β = 90.00° and γ = 90.00°. The asymmetric unit holds Rb at (0.2289, 0.0000, 0.0000), Rb at (0.2500, 0.2500, 0.2500), Se at (0.0000, 0.0000, 0.2333), O at (0.0000, 0.0000, 0.3658) and O at (0.0000, 0.1154, 0.1576).

The raw formation energy comes out at -6.1 eV/f.u. As for the total moment: 5.2 Bohr magnetons per cell.

# 5
Compound: GdAl4Bi
Source: Alexandria via LeMat-Bulk
Functional: PBE
Structure: relaxed

It has space group F-43m (No. 216), with a = 7.9712 Å, b = 7.9712 Å, c = 7.9712 Å, α = 90.00°, β = 90.00° and γ = 90.00°. The asymmetric unit holds Gd at (0.0000, 0.0000, 0.0000), Al at (0.1249, 0.1249, 0.6249) and Bi at (0.2500, 0.2500, 0.2500).

As for the total moment: 29.8 Bohr magnetons per cell. The energy relative to the elements is -16.5 kJ/mol of atoms.

# 6
Compound: TbErZr2
Source: Alexandria via LeMat-Bulk
Functional: PBE
Structure: relaxed

It has space group C2/m (No. 12), with a = 22.3079 Å, b = 3.3692 Å, c = 5.9145 Å, α = 90.00°, β = 105.14° and γ = 90.00°. The asymmetric unit holds Tb at (0.0000, 0.0000, 0.0000), Tb at (0.0000, 0.5000, 0.5000), Er at (0.1320, 0.0000, 0.4622), Zr at (0.1317, 0.5000, 0.9566) and Zr at (0.2472, 0.0000, 0.2274).

As for the total moment: 0.0 Bohr magnetons per cell. The energy relative to the elements is 7.6 kJ/mol of atoms. The energy above the most stable polymorph in this dataset comes out at 0 meV/atom.

# 7
Compound: Zn3GaNi9P2
Source: Alexandria via LeMat-Bulk
Functional: PBE
Structure: relaxed

It has space group P-3m1 (No. 164), with a = 5.6822 Å, b = 5.6822 Å, c = 8.2670 Å, α = 90.00°, β = 90.00° and γ = 120.00°. The asymmetric unit holds Zn at (0.0000, 0.0000, 0.0000), Zn at (0.3333, 0.6667, 0.7558), Ga at (0.0000, 0.0000, 0.5000), Ni at (0.0000, 0.5000, 0.0000), Ni at (0.1381, 0.2761, 0.2585) and P at (0.3333, 0.6667, 0.1739).

As for the total moment: 0.0 Bohr magnetons per cell. The energy relative to the elements is -3.3 kJ/mol of atoms.

# 8
Compound: LiCa2BeN2
Source: Alexandria via LeMat-Bulk
Functional: PBE
Structure: relaxed

It has space group Pnnm (No. 58), with a = 5.2651 Å, b = 9.2905 Å, c = 4.0118 Å, α = 90.00°, β = 90.00° and γ = 90.00°. The asymmetric unit holds Li at (0.0000, 0.0000, 0.0000), Ca at (0.0790, 0.2650, 0.5000), Be at (0.0000, 0.5000, 0.0000) and N at (0.2084, 0.3791, 0.0000).

The raw formation energy comes out at -3.1 eV/f.u. As for the total moment: 1.4 Bohr magnetons per cell.

Question: Look up the total moment of the sixth one.
Answer: 0.0 Bohr magnetons per cell